A relaxed MgPbN2 crystal. Source: Alexandria via LeMat-Bulk, functional GGA-PBE.

Cell: 6.561 6.561 6.561 Å, 31.31 31.31 31.31°
Atoms (fractional coordinates):
Mg: 0.000 0.000 0.000
Pb: 0.500 0.500 0.500
N: 0.104 0.104 0.104
N: 0.896 0.896 0.896

Computed properties:
**Space-group type**: R-3m (166)
**Energy relative to the elements, uncorrected**: 0.664 eV per atom

---

A relaxed CuSn2Bi2Pd7 crystal. Source: Alexandria via LeMat-Bulk, functional GGA-PBE.

Cell: 3.945 3.945 15.889 Å, 94.07 94.07 90.64°
Atoms (fractional coordinates):
Cu: 0.000 0.000 0.000
Sn: 0.130 0.130 0.414
Sn: 0.870 0.870 0.586
Bi: 0.430 0.430 0.756
Bi: 0.570 0.570 0.244
Pd: 0.036 0.536 0.123
Pd: 0.373 0.373 0.577
Pd: 0.464 0.964 0.877
Pd: 0.500 0.500 0.000
Pd: 0.536 0.036 0.123
Pd: 0.627 0.627 0.423
Pd: 0.964 0.464 0.877

Computed properties:
**ΔH_f (0 K)**: -0.1808 eV/atom
**Space-group type**: C2/m (12)

---

A relaxed Nd4IrSI2 crystal. Source: Alexandria via LeMat-Bulk, functional GGA-PBE.

Cell: 7.515 4.138 8.237 Å, 90.00 107.06 90.00°
Atoms (fractional coordinates):
Nd: 0.212 0.000 0.189
Nd: 0.270 0.500 0.811
Nd: 0.730 0.500 0.189
Nd: 0.788 0.000 0.811
Ir: 0.000 0.500 0.000
S: 0.500 0.000 0.000
I: 0.000 0.000 0.500
I: 0.500 0.500 0.500

Computed properties:
**Space-group type**: P2/m (10)
**Energy relative to the elements, uncorrected**: -1.194 eV per atom

---

A relaxed MoOsRh crystal. Source: Alexandria via LeMat-Bulk, functional GGA-PBE.

Cell: 4.194 4.194 4.194 Å, 60.00 60.00 60.00°
Atoms (fractional coordinates):
Mo: 0.000 0.000 0.000
Os: 0.250 0.250 0.250
Rh: 0.750 0.750 0.750

Computed properties:
**Energy above the most stable polymorph in this dataset**: 1.82 eV per formula unit
**ΔH_f (0 K)**: 0.4776 eV/atom
**Space-group type**: F-43m (216)

---

Record order is preserved below.
E: -4.82 -4.87 -5.59 -9.33 eV per atom